DFT (PBE-GGA) results for a relaxed structure of K4HBrCl2.

Geometry as POSCAR:
```
K4HBrCl2
1.0
7.772 0.000 0.000
0.000 4.494 0.000
-2.579 0.000 7.353
K H Br Cl
4 1 1 2
Direct
0.245 0.000 0.237
0.250 0.500 0.766
0.750 0.500 0.234
0.755 0.000 0.763
0.000 0.500 0.000
0.000 0.000 0.500
0.500 0.000 0.000
0.500 0.500 0.500
```

Values from the calculation:
E_tot in eV/f.u.: -24.667
Magnetization in μB/f.u.: 0.02
DOS(E_F) in states/eV/atom: 0.00

---

DFT (PBE-GGA) results for a relaxed structure of K6HBr3Cl2.

Geometry as POSCAR:
```
K6HBr3Cl2
1.0
3.950 -6.839 0.000
3.950 6.839 0.000
-2.636 0.000 7.472
K H Br Cl
6 1 3 2
Direct
0.077 0.399 0.232
0.244 0.244 0.768
0.399 0.077 0.232
0.601 0.923 0.768
0.756 0.756 0.232
0.923 0.601 0.768
0.000 0.000 0.000
0.169 0.831 0.500
0.500 0.500 0.500
0.831 0.169 0.500
0.334 0.666 0.000
0.666 0.334 0.000
```

Values from the calculation:
E_tot in eV/f.u.: -37.215
Magnetization in μB/f.u.: 0.06
DOS(E_F) in states/eV/atom: 0.00

---

DFT (PBE-GGA) results for a relaxed structure of K4H2BrCl.

Geometry as POSCAR:
```
K4H2BrCl
1.0
7.525 0.000 0.000
0.000 4.336 0.000
-2.504 0.000 7.146
K H Br Cl
4 2 1 1
Direct
0.233 0.000 0.220
0.252 0.500 0.775
0.748 0.500 0.225
0.767 0.000 0.780
0.000 0.500 0.000
0.500 0.000 0.000
0.500 0.500 0.500
0.000 0.000 0.500
```

Values from the calculation:
E_tot in eV/f.u.: -22.673
Magnetization in μB/f.u.: 0.06
DOS(E_F) in states/eV/atom: 0.00

---

DFT (PBE-GGA) results for a relaxed structure of K6H2Br3Cl.

Geometry as POSCAR:
```
K6H2Br3Cl
1.0
3.885 -6.726 0.000
3.885 6.726 0.000
-2.596 0.000 7.381
K H Br Cl
6 2 3 1
Direct
0.079 0.425 0.774
0.229 0.229 0.224
0.425 0.079 0.774
0.575 0.921 0.226
0.771 0.771 0.776
0.921 0.575 0.226
0.167 0.833 0.000
0.833 0.167 0.000
0.000 0.000 0.500
0.336 0.664 0.500
0.664 0.336 0.500
0.500 0.500 0.000
```

Values from the calculation:
E_tot in eV/f.u.: -35.114
Magnetization in μB/f.u.: 0.03
DOS(E_F) in states/eV/atom: 0.00

---

DFT (PBE-GGA) results for a relaxed structure of KHBrCl2.

Geometry as POSCAR:
```
KHBrCl2
1.0
5.907 0.000 0.000
0.000 5.907 0.000
0.000 0.000 4.959
K H Br Cl
1 1 1 2
Direct
0.000 0.000 0.000
0.000 0.000 0.500
0.500 0.500 0.500
0.000 0.500 0.000
0.500 0.000 0.000
```

Values from the calculation:
E_tot in eV/f.u.: -9.076
Magnetization in μB/f.u.: 3.00
DOS(E_F) in states/eV/atom: 0.64

---

DFT (PBE-GGA) results for a relaxed structure of K3HBrCl.

Geometry as POSCAR:
```
K3HBrCl
1.0
7.633 0.000 0.000
0.000 4.436 0.000
-2.259 0.000 11.035
K H Br Cl
6 2 2 2
Direct
0.041 0.250 0.173
0.218 0.250 0.521
0.438 0.750 0.825
0.562 0.250 0.175
0.782 0.750 0.479
0.959 0.750 0.827
0.131 0.750 0.639
0.869 0.250 0.361
0.348 0.750 0.317
0.652 0.250 0.683
0.237 0.250 0.949
0.763 0.750 0.051
```

Values from the calculation:
E_tot in eV/f.u.: -17.880
Magnetization in μB/f.u.: 0.03
DOS(E_F) in states/eV/atom: 0.00

---

DFT (PBE-GGA) results for a relaxed structure of K6H3BrCl2.

Geometry as POSCAR:
```
K6H3BrCl2
1.0
9.461 -2.159 0.000
9.461 2.159 0.000
-2.059 0.000 8.446
K H Br Cl
6 3 1 2
Direct
0.005 0.005 0.227
0.325 0.325 0.425
0.337 0.337 0.906
0.663 0.663 0.094
0.675 0.675 0.575
0.995 0.995 0.773
0.168 0.168 0.331
0.500 0.500 0.000
0.832 0.832 0.669
0.500 0.500 0.500
0.167 0.167 0.835
0.833 0.833 0.165
```

Values from the calculation:
E_tot in eV/f.u.: -34.346
Magnetization in μB/f.u.: 0.07
DOS(E_F) in states/eV/atom: 0.00

---

DFT (PBE-GGA) results for a relaxed structure of KHBrCl.

Geometry as POSCAR:
```
KHBrCl
1.0
8.644 0.000 0.000
0.000 5.125 0.000
-3.174 0.000 6.290
K H Br Cl
2 2 2 2
Direct
0.000 0.000 0.000
0.500 0.500 0.000
0.010 0.500 0.535
0.510 0.000 0.535
0.426 0.000 0.241
0.926 0.500 0.241
0.076 0.500 0.763
0.576 0.000 0.763
```

Values from the calculation:
E_tot in eV/f.u.: -12.511
Magnetization in μB/f.u.: 0.07
DOS(E_F) in states/eV/atom: 0.00